Density functional theory data (GGA-PBE) for an optimized crystal structure of KCuF3.

POSCAR file:
```
KCuF3
1.0
5.7342 0.1817 -0.0543
0.1994 5.6302 0.3303
-2.6797 0.1050 5.0797
K Cu F
2 2 6
Direct
0.3289 0.9019 0.4053
0.6563 0.3989 0.0783
0.9926 0.1510 0.7420
0.9927 0.6511 0.7419
0.1437 0.2961 0.0646
0.8420 0.0054 0.4197
0.3150 0.7949 0.8936
0.8500 0.9031 0.8817
0.1355 0.3987 0.6022
0.6707 0.5065 0.5904
```

Summary:
As for the space group: P-1 (2). For the formation energy from raw total energies, the calculation gives -2.050 eV/atom. The value obtained for the theoretical density is 3.26 g/cm³.